Entry 1:
Sr2HgP: relaxed, PBE.

Unit cell a=8.385 b=8.385 c=7.167 alpha=54.20 beta=54.20 gamma=90.00
Last column: magnetic moment on the atom in μB.
Sites, in units of the cell vectors:
1 Sr 0.168 0.625 0.250  0.06
2 Sr 0.875 0.832 0.750  0.06
3 P 0.500 0.500 0.000  0.05
4 Sr 0.582 0.125 0.250  0.06
5 Hg 0.750 0.250 0.500  0.09
6 P 0.250 0.750 0.500  0.05
7 Sr 0.375 0.418 0.750  0.06
8 Hg 0.000 0.000 0.000  0.09

Total moment = 0.960 μB/f.u.
Space group = I-42d
DFT formation energy = -51 kJ per mole of atoms
Excess energy over the best structure of this formula in the dataset = 0.285 eV/atom

Entry 2:
ScTa2BF: relaxed, PBE.

Unit cell a=4.277 b=4.944 c=4.277 alpha=90.00 beta=90.00 gamma=90.00
Last column: magnetic moment on the atom in μB.
Sites, in units of the cell vectors:
1 F 0.500 0.500 0.500  0.15
2 Ta 0.500 0.000 0.000  0.50
3 Sc 0.000 0.500 0.000  0.35
4 B 0.000 0.000 0.000  0.01
5 Ta 0.000 0.000 0.500  0.57

Formation energy (no corrections) = 0.221 eV/atom
Total moment = 2.373 μB/f.u.
Space group = P4/mmm

Entry 3:
ZrPbSe: relaxed, PBE.

Unit cell a=4.793 b=4.793 c=4.793 alpha=60.00 beta=60.00 gamma=60.00
Sites, in units of the cell vectors:
1 Pb 0.500 0.500 0.500
2 Se 0.750 0.750 0.750
3 Zr 0.000 0.000 0.000

Formation energy (no corrections) = 0.002 eV/atom
Total moment = 0.002 μB/f.u.
Space group = F-43m
Excess energy over the best structure of this formula in the dataset = 0.690 eV/atom

Entry 4:
KMg4Hg8: relaxed, PBE.

Unit cell a=6.241 b=7.791 c=7.791 alpha=80.77 beta=66.39 gamma=66.39
Sites, in units of the cell vectors:
1 K 0.000 0.000 0.000
2 Mg 0.500 0.000 0.500
3 Hg 0.000 0.665 0.335
4 Hg 0.721 0.779 0.779
5 Hg 0.500 0.779 0.221
6 Hg 0.279 0.221 0.221
7 Mg 0.500 0.500 0.000
8 Hg 0.335 0.665 0.665
9 Mg 0.000 0.000 0.500
10 Mg 0.000 0.500 0.000
11 Hg 0.665 0.335 0.335
12 Hg 0.000 0.335 0.665
13 Hg 0.500 0.221 0.779

Total moment = 0.000 μB/f.u.
Space group = I4/mmm
DFT formation energy = -16 kJ per mole of atoms

Entry 5:
TbY4TmS8: relaxed, PBE.

Unit cell a=8.046 b=8.046 c=8.049 alpha=60.01 beta=60.01 gamma=60.00
Sites, in units of the cell vectors:
1 Tm 0.375 0.375 0.875
2 S 0.758 0.758 0.727
3 S 0.757 0.757 0.258
4 S 0.227 0.757 0.258
5 S 0.244 0.244 0.268
6 S 0.245 0.767 0.743
7 Y 0.625 0.625 0.125
8 Y 0.000 0.000 0.500
9 Tb 0.000 0.000 0.999
10 Y 0.499 0.000 0.500
11 S 0.767 0.245 0.743
12 S 0.245 0.245 0.743
13 Y 0.000 0.499 0.500
14 S 0.757 0.227 0.258

Formation energy (no corrections) = -1.939 eV/atom
Total moment = 0.000 μB/f.u.
Space group = R3m

Entry 6:
LiNiCl6: relaxed, PBE.

Unit cell a=6.148 b=6.147 c=6.363 alpha=61.14 beta=61.16 gamma=59.98
Last column: magnetic moment on the atom in μB.
Sites, in units of the cell vectors:
1 Cl 0.060 0.389 0.761  0.13
2 Cl 0.790 0.060 0.761  0.13
3 Li 0.500 0.500 0.500  0.00
4 Cl 0.611 0.210 0.239  0.13
5 Ni 0.000 0.000 0.000  0.03
6 Cl 0.940 0.611 0.239  0.13
7 Cl 0.210 0.940 0.239  0.13
8 Cl 0.389 0.790 0.761  0.13

Formation energy (no corrections) = -0.505 eV/atom
Total moment = 0.985 μB/f.u.
Space group = R-3

Entry 7:
Sr2Cd5Pb: relaxed, PBE.

Unit cell a=4.952 b=9.472 c=10.261 alpha=90.00 beta=90.00 gamma=105.15
Sites, in units of the cell vectors:
1 Cd 0.349 0.698 0.977
2 Cd 0.651 0.302 0.477
3 Cd 0.391 0.782 0.250
4 Pb 0.551 0.101 0.250
5 Sr 0.000 0.000 0.500
6 Sr 0.195 0.390 0.250
7 Cd 0.810 0.620 0.392
8 Cd 0.651 0.302 0.023
9 Cd 0.609 0.218 0.750
10 Cd 0.190 0.380 0.608
11 Cd 0.349 0.698 0.523
12 Sr 0.805 0.610 0.750
13 Cd 0.810 0.620 0.108
14 Cd 0.190 0.380 0.892
15 Sr 0.000 0.000 0.000
16 Pb 0.449 0.899 0.750

Total moment = 0.000 μB/f.u.
Space group = Cmcm
DFT formation energy = -29 kJ per mole of atoms

Entry 8:
Cr2Pt: relaxed, PBE.

Unit cell a=4.421 b=4.421 c=2.860 alpha=90.00 beta=90.00 gamma=90.00
Last column: magnetic moment on the atom in μB.
Sites, in units of the cell vectors:
1 Cr 0.000 0.500 0.500  3.25
2 Pt 0.000 0.000 0.000  0.12
3 Cr 0.500 0.000 0.500  3.25

Total moment = 7.261 μB/f.u.
Space group = P4/mmm
DFT formation energy = 56 kJ per mole of atoms

Entry 9:
HfCo2Se: relaxed, PBE.

Unit cell a=3.923 b=3.923 c=8.582 alpha=76.79 beta=76.79 gamma=90.00
Last column: magnetic moment on the atom in μB.
Sites, in units of the cell vectors:
1 Hf 0.750 0.250 0.500  -0.13
2 Co 0.875 0.827 0.750  0.58
3 Co 0.577 0.125 0.250  0.58
4 Se 0.250 0.750 0.500  0.01
5 Co 0.375 0.423 0.750  0.59
6 Co 0.173 0.625 0.250  0.58
7 Se 0.500 0.500 0.000  0.01
8 Hf 0.000 0.000 0.000  -0.13

Formation energy (no corrections) = -0.003 eV/atom
Total moment = 0.977 μB/f.u.
Space group = I-42d

Entry 10:
TlWAu: relaxed, PBE.

Unit cell a=7.674 b=7.466 c=2.935 alpha=82.83 beta=74.86 gamma=22.30
Sites, in units of the cell vectors:
1 Au 0.008 0.008 0.992
2 Tl 0.331 0.331 0.669
3 W 0.660 0.660 0.340

Total moment = 0.000 μB/f.u.
Space group = Fmm2
DFT formation energy = 70 kJ per mole of atoms
Excess energy over the best structure of this formula in the dataset = 0.063 eV/atom

Entry 11:
Ac4SiIr3: relaxed, PBE.

Unit cell a=4.361 b=4.375 c=11.439 alpha=90.00 beta=90.00 gamma=90.00
Sites, in units of the cell vectors:
1 Ir 0.000 0.500 0.583
2 Ir 0.500 0.000 0.946
3 Ir 0.000 0.000 0.416
4 Ac 0.500 0.000 0.638
5 Ac 0.000 0.000 0.143
6 Ac 0.500 0.500 0.367
7 Ac 0.000 0.500 0.855
8 Si 0.500 0.500 0.055

Formation energy (no corrections) = -0.616 eV/atom
Total moment = 0.000 μB/f.u.
Space group = Pmm2

Entry 12:
TmZn5Au2: relaxed, PBE.

Unit cell a=3.630 b=6.654 c=6.654 alpha=71.64 beta=74.17 gamma=74.17
Sites, in units of the cell vectors:
1 Zn 0.631 0.174 0.564
2 Au 0.265 0.235 0.235
3 Zn 0.000 0.500 0.500
4 Au 0.735 0.765 0.765
5 Tm 0.000 0.000 0.000
6 Zn 0.369 0.826 0.436
7 Zn 0.369 0.436 0.826
8 Zn 0.631 0.564 0.174

Total moment = 0.000 μB/f.u.
Space group = Immm
DFT formation energy = -32 kJ per mole of atoms